(1)
# AlOs2F | the Alexandria database | PBE-GGA | relaxed
data_AlOs2F
_chemical_formula_sum 'Al4 Os8 F4'
_symmetry_space_group_name_H-M 'F m -3 m'
_symmetry_Int_Tables_number 225
_symmetry_space_group_name_Hall '-F 4 2 3'
_cell_length_a 5.962
_cell_length_b 5.962
_cell_length_c 5.962
_cell_angle_alpha 90.00
_cell_angle_beta 90.00
_cell_angle_gamma 90.00
loop_
_atom_site_label
_atom_site_type_symbol
_atom_site_fract_x
_atom_site_fract_y
_atom_site_fract_z
_atom_site_occupancy
Al1 Al 0.000 0.000 0.000 1
Os1 Os 0.250 0.250 0.250 1
F1 F 0.000 0.000 0.500 1
# - uncorrected energy (eV for the cell shown) = -104.96
# - energy above the lowest structure with this stoichiometry (meV/atom) = 0
# - magnetic moment (μB per formula unit) = 0.00
# - uncorrected formation energy (eV per formula unit) = 1.8



(2)
# Tb2ZnSn | the Alexandria database | PBE-GGA | relaxed
data_Tb2ZnSn
_chemical_formula_sum 'Tb4 Zn2 Sn2'
_symmetry_space_group_name_H-M 'P 1 21/m 1'
_symmetry_Int_Tables_number 11
_symmetry_space_group_name_Hall '-P 2yb'
_cell_length_a 6.089
_cell_length_b 4.311
_cell_length_c 8.522
_cell_angle_alpha 90.00
_cell_angle_beta 110.92
_cell_angle_gamma 90.00
loop_
_atom_site_label
_atom_site_type_symbol
_atom_site_fract_x
_atom_site_fract_y
_atom_site_fract_z
_atom_site_occupancy
Tb1 Tb 0.206 0.250 0.436 1
Tb2 Tb 0.218 0.250 0.920 1
Zn1 Zn 0.346 0.750 0.708 1
Sn1 Sn 0.339 0.750 0.211 1
# - uncorrected energy (eV for the cell shown) = -33.35
# - magnetic moment (μB per formula unit) = 0.00
# - formation enthalpy at 0 K (eV per atom) = -0.534



(3)
# Fe2CoRuN | the Alexandria database | PBE-GGA | relaxed
data_Fe2CoRuN
_chemical_formula_sum 'Fe2 Co1 Ru1 N1'
_symmetry_space_group_name_H-M 'P 4/m m m'
_symmetry_Int_Tables_number 123
_symmetry_space_group_name_Hall '-P 4 2'
_cell_length_a 4.754
_cell_length_b 4.754
_cell_length_c 3.633
_cell_angle_alpha 90.00
_cell_angle_beta 90.00
_cell_angle_gamma 90.00
loop_
_atom_site_label
_atom_site_type_symbol
_atom_site_fract_x
_atom_site_fract_y
_atom_site_fract_z
_atom_site_occupancy
Fe1 Fe 0.000 0.500 0.000 1
Co1 Co 0.000 0.000 0.500 1
Ru1 Ru 0.500 0.500 0.000 1
N1 N 0.500 0.500 0.500 1
# - uncorrected energy (eV for the cell shown) = -34.91
# - energy above the lowest structure with this stoichiometry (meV/atom) = 1244
# - magnetic moment (μB per formula unit) = 8.76
# - uncorrected formation energy (eV per formula unit) = 6.7



(4)
# Rb6I2Br3 | the Alexandria database | PBE-GGA | relaxed
data_Rb6I2Br3
_chemical_formula_sum 'Rb12 I4 Br6'
_symmetry_space_group_name_H-M 'C 1 2/m 1'
_symmetry_Int_Tables_number 12
_symmetry_space_group_name_Hall '-C 2y'
_cell_length_a 8.810
_cell_length_b 15.262
_cell_length_c 8.898
_cell_angle_alpha 90.00
_cell_angle_beta 109.28
_cell_angle_gamma 90.00
loop_
_atom_site_label
_atom_site_type_symbol
_atom_site_fract_x
_atom_site_fract_y
_atom_site_fract_z
_atom_site_occupancy
Rb1 Rb 0.242 0.000 0.234 1
Rb2 Rb 0.246 0.335 0.234 1
I1 I 0.000 0.333 0.500 1
Br1 Br 0.000 0.167 0.000 1
Br2 Br 0.000 0.500 0.000 1
# - uncorrected energy (eV for the cell shown) = -59.97
# - magnetic moment (μB per formula unit) = 0.76
# - uncorrected formation energy (eV per formula unit) = -16.1



(5)
# Sm2YHo7 | the Alexandria database | PBE-GGA | relaxed
data_Sm2YHo7
_chemical_formula_sum 'Sm4 Y2 Ho14'
_symmetry_space_group_name_H-M 'C m m m'
_symmetry_Int_Tables_number 65
_symmetry_space_group_name_Hall '-C 2 2'
_cell_length_a 6.461
_cell_length_b 28.692
_cell_length_c 3.516
_cell_angle_alpha 90.00
_cell_angle_beta 90.00
_cell_angle_gamma 90.00
loop_
_atom_site_label
_atom_site_type_symbol
_atom_site_fract_x
_atom_site_fract_y
_atom_site_fract_z
_atom_site_occupancy
Sm1 Sm 0.000 0.208 0.000 1
Y1 Y 0.000 0.500 0.500 1
Ho1 Ho 0.000 0.000 0.000 1
Ho2 Ho 0.000 0.315 0.500 1
Ho3 Ho 0.246 0.402 0.000 1
# - uncorrected energy (eV for the cell shown) = -92.75
# - energy above the lowest structure with this stoichiometry (meV/atom) = 139
# - magnetic moment (μB per formula unit) = 0.00
# - formation enthalpy at 0 K (eV per atom) = 0.157



(6)
# ThGa4Pt12 | the Alexandria database | PBE-GGA | relaxed
data_ThGa4Pt12
_chemical_formula_sum 'Th2 Ga8 Pt24'
_symmetry_space_group_name_H-M 'I m -3'
_symmetry_Int_Tables_number 204
_symmetry_space_group_name_Hall '-I 2 2 3'
_cell_length_a 8.594
_cell_length_b 8.594
_cell_length_c 8.594
_cell_angle_alpha 90.00
_cell_angle_beta 90.00
_cell_angle_gamma 90.00
loop_
_atom_site_label
_atom_site_type_symbol
_atom_site_fract_x
_atom_site_fract_y
_atom_site_fract_z
_atom_site_occupancy
Th1 Th 0.000 0.000 0.000 1
Ga1 Ga 0.250 0.250 0.250 1
Pt1 Pt 0.000 0.153 0.344 1
# - uncorrected energy (eV for the cell shown) = -191.09
# - magnetic moment (μB per formula unit) = 0.00
# - formation enthalpy at 0 K (eV per atom) = -0.208



(7)
# ScTa5 | the Alexandria database | PBE-GGA | relaxed
data_ScTa5
_chemical_formula_sum 'Sc2 Ta10'
_symmetry_space_group_name_H-M 'C 1 m 1'
_symmetry_Int_Tables_number 8
_symmetry_space_group_name_Hall 'C -2y'
_cell_length_a 11.332
_cell_length_b 2.775
_cell_length_c 7.452
_cell_angle_alpha 90.00
_cell_angle_beta 102.48
_cell_angle_gamma 90.00
loop_
_atom_site_label
_atom_site_type_symbol
_atom_site_fract_x
_atom_site_fract_y
_atom_site_fract_z
_atom_site_occupancy
Sc1 Sc 0.000 0.000 0.000 1
Ta1 Ta 0.074 0.000 0.649 1
Ta2 Ta 0.165 0.500 0.330 1
Ta3 Ta 0.244 0.500 0.983 1
Ta4 Ta 0.330 0.000 0.661 1
Ta5 Ta 0.408 0.000 0.319 1
# - uncorrected energy (eV for the cell shown) = -128.43
# - magnetic moment (μB per formula unit) = 0.00
# - formation enthalpy at 0 K (eV per atom) = 0.230



(8)
# ZrTaSn | the Alexandria database | PBE-GGA | relaxed
data_ZrTaSn
_chemical_formula_sum 'Zr2 Ta2 Sn2'
_symmetry_space_group_name_H-M 'I 4 m m'
_symmetry_Int_Tables_number 107
_symmetry_space_group_name_Hall 'I 4 -2'
_cell_length_a 3.650
_cell_length_b 3.650
_cell_length_c 9.377
_cell_angle_alpha 90.00
_cell_angle_beta 90.00
_cell_angle_gamma 90.00
loop_
_atom_site_label
_atom_site_type_symbol
_atom_site_fract_x
_atom_site_fract_y
_atom_site_fract_z
_atom_site_occupancy
Zr1 Zr 0.000 0.000 0.000 1
Ta1 Ta 0.000 0.000 0.335 1
Sn1 Sn 0.000 0.000 0.674 1
# - uncorrected energy (eV for the cell shown) = -49.72
# - magnetic moment (μB per formula unit) = 0.00
# - formation enthalpy at 0 K (eV per atom) = -0.152



(9)
# CaZnBi2S | the Alexandria database | PBE-GGA | relaxed
data_CaZnBi2S
_chemical_formula_sum 'Ca1 Zn1 Bi2 S1'
_symmetry_space_group_name_H-M 'P 4/m m m'
_symmetry_Int_Tables_number 123
_symmetry_space_group_name_Hall '-P 4 2'
_cell_length_a 5.972
_cell_length_b 5.972
_cell_length_c 5.055
_cell_angle_alpha 90.00
_cell_angle_beta 90.00
_cell_angle_gamma 90.00
loop_
_atom_site_label
_atom_site_type_symbol
_atom_site_fract_x
_atom_site_fract_y
_atom_site_fract_z
_atom_site_occupancy
Ca1 Ca 0.000 0.000 0.000 1
Zn1 Zn 0.500 0.500 0.500 1
Bi1 Bi 0.000 0.500 0.000 1
S1 S 0.000 0.000 0.500 1
# - uncorrected energy (eV for the cell shown) = -13.11
# - magnetic moment (μB per formula unit) = 0.00
# - uncorrected formation energy (eV per formula unit) = 2.1



(10)
# Ce2EuSb | the Alexandria database | PBE-GGA | relaxed
data_Ce2EuSb
_chemical_formula_sum 'Ce8 Eu4 Sb4'
_symmetry_space_group_name_H-M 'F m -3 m'
_symmetry_Int_Tables_number 225
_symmetry_space_group_name_Hall '-F 4 2 3'
_cell_length_a 7.747
_cell_length_b 7.747
_cell_length_c 7.747
_cell_angle_alpha 90.00
_cell_angle_beta 90.00
_cell_angle_gamma 90.00
loop_
_atom_site_label
_atom_site_type_symbol
_atom_site_fract_x
_atom_site_fract_y
_atom_site_fract_z
_atom_site_occupancy
Ce1 Ce 0.250 0.250 0.250 1
Eu1 Eu 0.000 0.000 0.000 1
Sb1 Sb 0.000 0.000 0.500 1
# - uncorrected energy (eV for the cell shown) = -109.26
# - energy above the lowest structure with this stoichiometry (meV/atom) = 204
# - magnetic moment (μB per formula unit) = 9.95
# - uncorrected formation energy (eV per formula unit) = -1.1



(11)
# Ge2BiSe2 | the Alexandria database | PBE-GGA | relaxed
data_Ge2BiSe2
_chemical_formula_sum 'Ge4 Bi2 Se4'
_symmetry_space_group_name_H-M 'P 4/m b m'
_symmetry_Int_Tables_number 127
_symmetry_space_group_name_Hall '-P 4 2ab'
_cell_length_a 8.424
_cell_length_b 8.424
_cell_length_c 3.604
_cell_angle_alpha 90.00
_cell_angle_beta 90.00
_cell_angle_gamma 90.00
loop_
_atom_site_label
_atom_site_type_symbol
_atom_site_fract_x
_atom_site_fract_y
_atom_site_fract_z
_atom_site_occupancy
Ge1 Ge 0.196 0.304 0.000 1
Bi1 Bi 0.000 0.000 0.000 1
Se1 Se 0.155 0.655 0.500 1
# - uncorrected energy (eV for the cell shown) = -39.70
# - energy above the lowest structure with this stoichiometry (meV/atom) = 0
# - magnetic moment (μB per formula unit) = 0.00
# - uncorrected formation energy (eV per formula unit) = 0.2



(12)
# Fe2H2Se | the Alexandria database | PBE-GGA | relaxed
data_Fe2H2Se
_chemical_formula_sum 'Fe4 H4 Se2'
_symmetry_space_group_name_H-M 'I 4/m m m'
_symmetry_Int_Tables_number 139
_symmetry_space_group_name_Hall '-I 4 2'
_cell_length_a 3.021
_cell_length_b 3.021
_cell_length_c 9.911
_cell_angle_alpha 90.00
_cell_angle_beta 90.00
_cell_angle_gamma 90.00
loop_
_atom_site_label
_atom_site_type_symbol
_atom_site_fract_x
_atom_site_fract_y
_atom_site_fract_z
_atom_site_occupancy
Fe1 Fe 0.000 0.000 0.156 1
H1 H 0.000 0.500 0.250 1
Se1 Se 0.000 0.000 0.500 1
# - uncorrected energy (eV for the cell shown) = -53.00
# - magnetic moment (μB per formula unit) = 3.89